## CsMnCu2F8 (PBE+U)

Data for a relaxed CsMnCu2F8 crystal.

The calculation puts the electronic total energy at -0.1678 hartree per atom.

a = 5.4523 Å, b = 5.4523 Å, c = 24.1107 Å
α = 90.00°, β = 90.00°, γ = 120.00°
With the nearest neighbours (Å) after each atom.
Space group R-3 (No. 148, hexagonal axes)
Symmetry-distinct sites (fractional):
Cs 0.0000 0.0000 0.0000  12 F 3.19-3.55
Mn 0.0000 0.0000 0.5000  6 F 1.92
Cu 0.0000 0.0000 0.2366  4 F 1.84-1.98
F 0.0000 0.0000 0.3128  1 Cu 1.84
F 0.0170 0.2968 0.4544  1 Mn 1.92, 1 Cu 1.98